w | A plane-wave DFT calculation with GGA+U was carried out for a geometry-optimized TcWI2O structure.

Lattice parameters (Å, degrees): 5.957 5.957 3.852 90.00 90.00 90.00
Positions (direct):
Tc1 0.000 0.000 0.000
W1 0.500 0.500 0.500
I1 0.000 0.500 0.500
I2 0.500 0.000 0.500
O1 0.500 0.500 0.000

x | A plane-wave DFT calculation with GGA+U was carried out for a geometry-optimized TcWI2O structure.

Lattice parameters (Å, degrees): 5.622 5.622 3.763 90.00 90.00 90.00
Positions (direct):
Tc1 0.000 0.000 0.000
W1 0.500 0.500 0.500
I1 0.000 0.500 0.000
I2 0.500 0.000 0.000
O1 0.000 0.000 0.500

Most stable structure, least stable structure: x, w.